Density functional theory data (PBE) for a geometry-optimized CaP2Au structure.

The structure in POSCAR format:
```
CaP2Au
1.0
3.818 0.000 0.000
0.000 4.372 0.000
-0.016 0.000 4.447
Ca P Au
1 2 1
Cartesian
0.000 0.000 0.000 Ca
1.901 0.000 2.223 P
1.909 2.186 0.000 P
-0.008 2.186 2.223 Au
```

Results
Fermi-level density of states   0.4239 states/eV/atom
Distance to the lowest polymorph of the same formula   320 meV/atom
Energy relative to the elements   -215 meV per atom



Density functional theory data (PBE) for a geometry-optimized Ca2P2Au structure.

The structure in POSCAR format:
```
Ca2P2Au
1.0
7.159 0.000 0.000
0.000 7.159 0.000
0.000 0.000 4.099
Ca P Au
4 4 2
Cartesian
1.317 2.262 0.000 Ca
2.262 5.842 0.000 Ca
4.897 1.317 0.000 Ca
5.842 4.897 0.000 Ca
0.784 4.364 2.049 P
2.795 0.784 2.049 P
4.364 6.375 2.049 P
6.375 2.795 2.049 P
0.000 0.000 2.049 Au
3.580 3.580 2.049 Au
```

Results
Fermi-level density of states   0.4878 states/eV/atom
Distance to the lowest polymorph of the same formula   70 meV/atom
Energy relative to the elements   -816 meV per atom



no.,M_tot (μB/atom)
1,0.000
2,0.000